Entry 1:
Entry from OQMD via LeMat-Bulk: an optimized crystal structure of KTlCdSnTe4 (PBE-GGA).

a b c (Å): 7.1577 7.1577 7.1577
angles (deg): 117.96 106.06 104.75
Fractional coordinates of all 8 atoms:
K 0.0000 0.0000 0.0000
Tl 0.0000 0.5000 0.5000
Cd 0.5000 0.0000 0.5000
Sn 0.5000 0.5000 0.0000
Te 0.1441 0.5626 0.0622
Te 0.5004 0.0819 0.9378
Te 0.4996 0.4374 0.5815
Te 0.8559 0.9181 0.4185

Calculated values
**V**: 278 Å³/cell
**E**: -24.8 eV per cell
**Symmetry**: I222 (23)

---

Entry 2:
Entry from OQMD via LeMat-Bulk: an optimized crystal structure of HfSbIr (PBE-GGA).

a b c (Å): 7.9832 7.9832 3.1044
angles (deg): 90.00 90.00 120.00
Fractional coordinates of all 9 atoms:
Hf 0.0000 0.3069 0.0000
Hf 0.3069 0.0000 0.0000
Hf 0.6931 0.6931 0.0000
Sb 0.0000 0.0000 0.5000
Sb 0.3333 0.6667 0.0000
Sb 0.6667 0.3333 0.0000
Ir 0.0000 0.6497 0.5000
Ir 0.3503 0.3503 0.5000
Ir 0.6497 0.0000 0.5000

Calculated values
**V**: 171 Å³/cell
**E**: -70.7 eV per cell
**Symmetry**: P-62m (189)

---

Entry 3:
Entry from OQMD via LeMat-Bulk: an optimized crystal structure of TbAlHg (PBE-GGA).

a b c (Å): 4.6722 4.6722 3.5983
angles (deg): 90.00 90.00 120.00
Fractional coordinates of all 3 atoms:
Tb 0.0000 0.0000 0.0000
Al 0.6667 0.3333 0.5000
Hg 0.3333 0.6667 0.5000

Calculated values
**V**: 68 Å³/cell
**E**: -10.1 eV per cell
**Symmetry**: P-6m2 (187)

---

Entry 4:
Entry from OQMD via LeMat-Bulk: an optimized crystal structure of RbAsPt (PBE-GGA).

a b c (Å): 7.0632 6.9809 7.8121
angles (deg): 90.00 116.55 90.00
Fractional coordinates of all 12 atoms:
Rb 0.1664 0.1265 0.3732
Rb 0.1664 0.3735 0.8732
Rb 0.8336 0.6265 0.1268
Rb 0.8336 0.8735 0.6268
As 0.3110 0.6438 0.5804
As 0.3110 0.8562 0.0804
As 0.6890 0.1438 0.9196
As 0.6890 0.3562 0.4196
Pt 0.4341 0.6193 0.3332
Pt 0.4341 0.8807 0.8332
Pt 0.5659 0.1193 0.1668
Pt 0.5659 0.3807 0.6668

Calculated values
**V**: 345 Å³/cell
**Distance to the lowest polymorph of the same formula**: 0.0000 eV/atom
**Symmetry**: P2_1/c (14)

---

Entry 5:
Entry from OQMD via LeMat-Bulk: an optimized crystal structure of UBeZn (PBE-GGA).

a b c (Å): 4.5544 4.5544 4.5544
angles (deg): 60.00 60.00 60.00
Fractional coordinates of all 3 atoms:
U 0.0000 0.0000 0.0000
Be 0.2500 0.2500 0.2500
Zn 0.7500 0.7500 0.7500

Calculated values
**V**: 67 Å³/cell
**Distance to the lowest polymorph of the same formula**: 0.4085 eV/atom
**Symmetry**: F-43m (216)

---

Entry 6:
Entry from OQMD via LeMat-Bulk: an optimized crystal structure of LiHoRe (PBE-GGA).

a b c (Å): 4.6009 4.6009 4.6009
angles (deg): 60.00 60.00 60.00
Fractional coordinates of all 3 atoms:
Li 0.0000 0.0000 0.0000
Ho 0.2500 0.2500 0.2500
Re 0.5000 0.5000 0.5000

Calculated values
**V**: 69 Å³/cell
**Distance to the lowest polymorph of the same formula**: 0.4028 eV/atom
**Symmetry**: F-43m (216)

---

Entry 7:
Entry from OQMD via LeMat-Bulk: an optimized crystal structure of NbSeOF7 (PBE-GGA).

a b c (Å): 10.4924 7.3116 6.6443
angles (deg): 90.00 90.00 90.00
Fractional coordinates of all 40 atoms:
Nb 0.1578 0.2500 0.1999
Nb 0.3422 0.7500 0.6999
Nb 0.6578 0.2500 0.3001
Nb 0.8422 0.7500 0.8001
Se 0.0012 0.7500 0.2624
Se 0.4988 0.2500 0.7624
Se 0.5012 0.7500 0.2376
Se 0.9988 0.2500 0.7376
O 0.0169 0.2500 0.9869
O 0.4831 0.7500 0.4869
O 0.5169 0.2500 0.5131
O 0.9831 0.7500 0.0131
F 0.0090 0.2500 0.3725
F 0.1088 0.0732 0.6869
F 0.1088 0.4268 0.6869
F 0.1468 0.5138 0.1995
F 0.1468 0.9862 0.1995
F 0.2229 0.7500 0.9086
F 0.2278 0.7500 0.4803
F 0.2722 0.2500 0.9803
F 0.2771 0.2500 0.4086
F 0.3532 0.0138 0.6995
F 0.3532 0.4862 0.6995
F 0.3912 0.5732 0.1869
F 0.3912 0.9268 0.1869
F 0.4910 0.7500 0.8725
F 0.5090 0.2500 0.1275
F 0.6088 0.0732 0.8131
F 0.6088 0.4268 0.8131
F 0.6468 0.5138 0.3005
F 0.6468 0.9862 0.3005
F 0.7229 0.7500 0.5914
F 0.7278 0.7500 0.0197
F 0.7722 0.2500 0.5197
F 0.7771 0.2500 0.0914
F 0.8532 0.0138 0.8005
F 0.8532 0.4862 0.8005
F 0.8912 0.5732 0.3131
F 0.8912 0.9268 0.3131
F 0.9910 0.7500 0.6275

Calculated values
**V**: 510 Å³/cell
**E**: -218.0 eV per cell
**Symmetry**: Pnma (62)

---

Entry 8:
Entry from OQMD via LeMat-Bulk: an optimized crystal structure of Pr3In3PdPt2 (PBE-GGA).

a b c (Å): 7.7602 7.7602 4.0940
angles (deg): 90.00 90.00 120.00
Fractional coordinates of all 9 atoms:
Pr 0.0000 0.4140 0.0000
Pr 0.4140 0.0000 0.0000
Pr 0.5860 0.5860 0.0000
In 0.0000 0.7503 0.5000
In 0.2497 0.2497 0.5000
In 0.7503 0.0000 0.5000
Pd 0.0000 0.0000 0.0000
Pt 0.3333 0.6667 0.5000
Pt 0.6667 0.3333 0.5000

Calculated values
**V**: 214 Å³/cell
**E**: -48.0 eV per cell
**Symmetry**: P-62m (189)

---

Entry 9:
Entry from OQMD via LeMat-Bulk: an optimized crystal structure of SrNdO3 (PBE-GGA).

a b c (Å): 6.3029 8.7173 6.0946
angles (deg): 90.00 90.00 90.00
Fractional coordinates of all 20 atoms:
Sr 0.0528 0.2500 0.0210
Sr 0.4472 0.7500 0.5210
Sr 0.5528 0.2500 0.4790
Sr 0.9472 0.7500 0.9790
Nd 0.0000 0.0000 0.5000
Nd 0.0000 0.5000 0.5000
Nd 0.5000 0.0000 0.0000
Nd 0.5000 0.5000 0.0000
O 0.0634 0.7500 0.3712
O 0.2050 0.5701 0.7967
O 0.2050 0.9299 0.7967
O 0.2950 0.0701 0.2967
O 0.2950 0.4299 0.2967
O 0.4366 0.2500 0.8712
O 0.5634 0.7500 0.1288
O 0.7050 0.5701 0.7033
O 0.7050 0.9299 0.7033
O 0.7950 0.0701 0.2033
O 0.7950 0.4299 0.2033
O 0.9366 0.2500 0.6288

Calculated values
**V**: 335 Å³/cell
**E**: -137.4 eV per cell
**Symmetry**: Pnma (62)

---

Entry 10:
Entry from OQMD via LeMat-Bulk: an optimized crystal structure of Tc2SbO4 (PBE-GGA).

a b c (Å): 6.3640 6.3640 6.3640
angles (deg): 60.00 60.00 60.00
Fractional coordinates of all 14 atoms:
Tc 0.0000 0.0000 0.0000
Tc 0.0000 0.0000 0.5000
Tc 0.0000 0.5000 0.0000
Tc 0.5000 0.0000 0.0000
Sb 0.3750 0.3750 0.3750
Sb 0.6250 0.6250 0.6250
O 0.2041 0.7653 0.7653
O 0.2347 0.2347 0.2347
O 0.2347 0.2347 0.7959
O 0.2347 0.7959 0.2347
O 0.7653 0.2041 0.7653
O 0.7653 0.7653 0.2041
O 0.7653 0.7653 0.7653
O 0.7959 0.2347 0.2347

Calculated values
**V**: 182 Å³/cell
**E**: -99.3 eV per cell
**Symmetry**: Fd-3m (227)

---

Entry 11:
Entry from OQMD via LeMat-Bulk: an optimized crystal structure of RbTbBeS3 (PBE-GGA).

a b c (Å): 7.6602 7.6602 10.4993
angles (deg): 90.00 90.00 150.55
Fractional coordinates of all 12 atoms:
Rb 0.2402 0.7598 0.7500
Rb 0.7598 0.2402 0.2500
Tb 0.5000 0.5000 0.0000
Tb 0.5000 0.5000 0.5000
Be 0.0397 0.9603 0.2500
Be 0.9603 0.0397 0.7500
S 0.1150 0.8850 0.0822
S 0.1150 0.8850 0.4178
S 0.4504 0.5496 0.2500
S 0.5496 0.4504 0.7500
S 0.8850 0.1150 0.5822
S 0.8850 0.1150 0.9178

Calculated values
**V**: 303 Å³/cell
**E**: -62.2 eV per cell
**Symmetry**: Cmcm (63)

---

Entry 12:
Entry from OQMD via LeMat-Bulk: an optimized crystal structure of NaTmSO4F (PBE-GGA).

a b c (Å): 5.4649 5.4649 7.7532
angles (deg): 106.12 106.12 101.50
Fractional coordinates of all 16 atoms:
Na 0.0920 0.9080 0.7500
Na 0.9080 0.0920 0.2500
Tm 0.0000 0.5000 0.0000
Tm 0.5000 0.0000 0.5000
S 0.4521 0.5479 0.7500
S 0.5479 0.4521 0.2500
O 0.2351 0.2536 0.1160
O 0.2536 0.2351 0.6160
O 0.3125 0.6355 0.8926
O 0.3645 0.6875 0.6074
O 0.6355 0.3125 0.3926
O 0.6875 0.3645 0.1074
O 0.7464 0.7649 0.3840
O 0.7649 0.7464 0.8840
F 0.1664 0.8336 0.2500
F 0.8336 0.1664 0.7500

Calculated values
**V**: 204 Å³/cell
**E**: -97.1 eV per cell
**Symmetry**: C2/c (15)

---

Entry 13:
Entry from OQMD via LeMat-Bulk: an optimized crystal structure of Gd2NiN3 (PBE-GGA).

a b c (Å): 6.6484 6.6484 6.6484
angles (deg): 150.20 148.09 44.22
Fractional coordinates of all 6 atoms:
Gd 0.1485 0.1485 0.0000
Gd 0.8515 0.8515 0.0000
Ni 0.5000 0.5000 0.0000
N 0.0000 0.5000 0.5000
N 0.3379 0.3379 0.0000
N 0.6621 0.6621 0.0000

Calculated values
**V**: 77 Å³/cell
**E**: -45.7 eV per cell
**Symmetry**: Immm (71)

---

Entry 14:
Entry from OQMD via LeMat-Bulk: an optimized crystal structure of ErFeRe (PBE-GGA).

a b c (Å): 4.4574 4.4574 4.4574
angles (deg): 60.00 60.00 60.00
Fractional coordinates of all 3 atoms:
Er 0.0000 0.0000 0.0000
Fe 0.7500 0.7500 0.7500
Re 0.2500 0.2500 0.2500

Calculated values
**V**: 63 Å³/cell
**Distance to the lowest polymorph of the same formula**: 1.0817 eV/atom
**Calculated formation energy**: 1.600 eV/atom
**Symmetry**: F-43m (216)

---

Entry 15:
Entry from OQMD via LeMat-Bulk: an optimized crystal structure of TmGa2Ag2 (PBE-GGA).

a b c (Å): 4.6437 4.6437 5.7162
angles (deg): 90.00 90.00 120.00
Fractional coordinates of all 5 atoms:
Tm 0.0000 0.0000 0.0000
Ga 0.3333 0.6667 0.7538
Ga 0.6667 0.3333 0.2462
Ag 0.3333 0.6667 0.2940
Ag 0.6667 0.3333 0.7060

Calculated values
**V**: 107 Å³/cell
**E**: -17.0 eV per cell
**Symmetry**: P-3m1 (164)

---

Entry 16:
Entry from OQMD via LeMat-Bulk: an optimized crystal structure of NdBiTe (PBE-GGA).

a b c (Å): 5.2940 5.2940 5.2940
angles (deg): 60.00 60.00 60.00
Fractional coordinates of all 3 atoms:
Nd 0.0000 0.0000 0.0000
Bi 0.5000 0.5000 0.5000
Te 0.7500 0.7500 0.7500

Calculated values
**V**: 105 Å³/cell
**E**: -13.3 eV per cell
**Symmetry**: F-43m (216)

---

Entry 17:
Entry from OQMD via LeMat-Bulk: an optimized crystal structure of HgH20C24N6 (PBE-GGA).

a b c (Å): 12.2870 12.2870 17.0481
angles (deg): 129.78 129.78 31.78
Fractional coordinates of all 102 atoms:
Hg 0.2132 0.7868 0.7500
Hg 0.7868 0.2132 0.2500
H 0.0680 0.4726 0.7965
H 0.0936 0.4798 0.4344
H 0.1023 0.1607 0.4092
H 0.1309 0.7835 0.4157
H 0.1344 0.3027 0.9666
H 0.1348 0.1489 0.1235
H 0.1489 0.1348 0.6235
H 0.1607 0.1023 0.9092
H 0.1707 0.6619 0.4981
H 0.2165 0.8691 0.0843
H 0.2328 0.3167 0.1910
H 0.3027 0.1344 0.4666
H 0.3167 0.2328 0.6910
H 0.3381 0.8293 0.0019
H 0.3647 0.3669 0.1676
H 0.3669 0.3647 0.6676
H 0.4543 0.5279 0.4114
H 0.4721 0.5457 0.0886
H 0.4726 0.0680 0.2965
H 0.4798 0.0936 0.9344
H 0.5202 0.9064 0.0656
H 0.5274 0.9320 0.7035
H 0.5279 0.4543 0.9114
H 0.5457 0.4721 0.5886
H 0.6331 0.6353 0.3324
H 0.6353 0.6331 0.8324
H 0.6619 0.1707 0.9981
H 0.6833 0.7672 0.3090
H 0.6973 0.8656 0.5334
H 0.7672 0.6833 0.8090
H 0.7835 0.1309 0.9157
H 0.8293 0.3381 0.5019
H 0.8393 0.8977 0.0908
H 0.8511 0.8652 0.3765
H 0.8652 0.8511 0.8765
H 0.8656 0.6973 0.0334
H 0.8691 0.2165 0.5843
H 0.8977 0.8393 0.5908
H 0.9064 0.5202 0.5656
H 0.9320 0.5274 0.2035
C 0.0062 0.8203 0.8192
C 0.0243 0.2563 0.1696
C 0.0384 0.8943 0.3742
C 0.0876 0.5332 0.7856
C 0.1021 0.6074 0.0327
C 0.1057 0.9616 0.1258
C 0.1477 0.6841 0.7593
C 0.1797 0.9938 0.6808
C 0.1926 0.6672 0.0702
C 0.2287 0.3979 0.7273
C 0.2563 0.0243 0.6696
C 0.2555 0.4007 0.4721
C 0.2565 0.4739 0.7141
C 0.2985 0.5013 0.5066
C 0.3159 0.8523 0.7407
C 0.3328 0.8074 0.4298
C 0.3926 0.8979 0.4673
C 0.3948 0.5074 0.0565
C 0.3979 0.2287 0.2273
C 0.4007 0.2555 0.9721
C 0.4668 0.9124 0.7144
C 0.4739 0.2565 0.2141
C 0.4926 0.6052 0.4435
C 0.4987 0.7015 0.9934
C 0.5013 0.2985 0.0066
C 0.5074 0.3948 0.5565
C 0.5261 0.7435 0.7859
C 0.5332 0.0876 0.2856
C 0.5993 0.7445 0.0279
C 0.6021 0.7713 0.7727
C 0.6052 0.4926 0.9435
C 0.6074 0.1021 0.5327
C 0.6672 0.1926 0.5702
C 0.6841 0.1477 0.2593
C 0.7015 0.4987 0.4934
C 0.7435 0.5261 0.2859
C 0.7445 0.5993 0.5279
C 0.7437 0.9757 0.3304
C 0.7713 0.6021 0.2727
C 0.8074 0.3328 0.9298
C 0.8203 0.0062 0.3192
C 0.8523 0.3159 0.2407
C 0.8943 0.0384 0.8742
C 0.8979 0.3926 0.9673
C 0.9124 0.4668 0.2144
C 0.9616 0.1057 0.6258
C 0.9757 0.7437 0.8304
C 0.9938 0.1797 0.1808
N 0.0759 0.8789 0.1215
N 0.0942 0.2473 0.9582
N 0.1211 0.9241 0.3785
N 0.2073 0.4040 0.9843
N 0.2473 0.0942 0.4582
N 0.4040 0.2073 0.4843
N 0.5960 0.7927 0.5157
N 0.7527 0.9058 0.5418
N 0.7927 0.5960 0.0157
N 0.8789 0.0759 0.6215
N 0.9058 0.7527 0.0418
N 0.9241 0.1211 0.8785

Calculated values
**V**: 1012 Å³/cell
**E**: -674.9 eV per cell
**Symmetry**: C2/c (15)

---

Entry 18:
Entry from OQMD via LeMat-Bulk: an optimized crystal structure of LaAg2W2 (PBE-GGA).

a b c (Å): 13.8824 13.8824 13.8824
angles (deg): 163.79 163.79 23.00
Fractional coordinates of all 10 atoms:
La 0.1377 0.1377 0.0000
La 0.8623 0.8623 0.0000
Ag 0.2500 0.7500 0.5000
Ag 0.4245 0.4245 0.0000
Ag 0.5755 0.5755 0.0000
Ag 0.7500 0.2500 0.5000
W 0.0000 0.5000 0.5000
W 0.3241 0.3241 0.0000
W 0.5000 0.0000 0.5000
W 0.6759 0.6759 0.0000

Calculated values
**V**: 208 Å³/cell
**Calculated formation energy**: 0.871 eV/atom
**Symmetry**: I4/mmm (139)